! CaBBr2 (PBE-GGA, relaxed); values from VASP
! M_tot (μB/f.u.): 0.0
! E (eV per cell): -10.83
! Symmetry: No. 166
&SYSTEM
  ibrav = 0, nat = 4, ntyp = 3
/
ATOMIC_SPECIES
Ca 40.08 Ca.upf
Br 79.90 Br.upf
B 10.81 B.upf
CELL_PARAMETERS angstrom
2.361 0.000 8.501
-1.181 2.045 8.501
-1.181 -2.045 8.501
ATOMIC_POSITIONS crystal
Ca 0.000 0.000 0.000
Br 0.891 0.891 0.891
Br 0.109 0.109 0.109
B 0.500 0.500 0.500

! Mn2SiAs (PBE-GGA, relaxed); values from VASP
! M_tot (μB/f.u.): 1.5
! E (eV per cell): -27.66
! Symmetry: No. 160
&SYSTEM
  ibrav = 0, nat = 4, ntyp = 3
/
ATOMIC_SPECIES
Mn 54.94 Mn.upf
Si 28.09 Si.upf
As 74.92 As.upf
CELL_PARAMETERS angstrom
7.708 0.001 0.000
7.170 2.830 0.000
7.170 1.364 2.480
ATOMIC_POSITIONS crystal
Mn 0.248 0.248 0.248
Mn 0.998 0.998 0.998
Si 0.508 0.508 0.508
As 0.746 0.746 0.746

! Tm5Ru4Se (PBE-GGA, relaxed); values from VASP
! M_tot (μB/f.u.): 0.0
! E (eV per cell): -69.42
! Symmetry: No. 123
&SYSTEM
  ibrav = 0, nat = 10, ntyp = 3
/
ATOMIC_SPECIES
Ru 101.07 Ru.upf
Tm 168.93 Tm.upf
Se 78.96 Se.upf
CELL_PARAMETERS angstrom
-0.394 -0.551 -3.338
3.377 -0.265 -0.355
-1.005 -16.612 2.860
ATOMIC_POSITIONS crystal
Ru 0.000 0.000 0.202
Ru 0.000 0.000 0.599
Ru 0.000 0.000 0.401
Ru 0.000 0.000 0.798
Tm 0.500 0.500 0.695
Tm 0.500 0.500 0.500
Tm 0.500 0.500 0.305
Tm 0.500 0.500 0.109
Tm 0.500 0.500 0.891
Se 0.000 0.000 0.000

! CdGePS2 (PBE-GGA, relaxed); values from VASP
! M_tot (μB/f.u.): 0.0
! E (eV per cell): -17.16
! Symmetry: No. 123
&SYSTEM
  ibrav = 0, nat = 5, ntyp = 4
/
ATOMIC_SPECIES
S 32.06 S.upf
P 30.97 P.upf
Cd 112.41 Cd.upf
Ge 72.64 Ge.upf
CELL_PARAMETERS angstrom
-0.188 -2.140 -4.039
-3.601 -2.945 1.728
-3.142 2.996 -1.442
ATOMIC_POSITIONS crystal
S 0.000 0.000 0.500
S 0.500 0.000 0.000
P 0.000 0.000 0.000
Cd 0.500 0.500 0.500
Ge 0.000 0.500 0.000

! Hf2ZrBi2 (PBE-GGA, relaxed); values from VASP
! M_tot (μB/f.u.): 0.0
! Symmetry: No. 15
! Energy of formation (eV/atom): 0.042
&SYSTEM
  ibrav = 0, nat = 10, ntyp = 3
/
ATOMIC_SPECIES
Zr 91.22 Zr.upf
Hf 178.49 Hf.upf
Bi 208.98 Bi.upf
CELL_PARAMETERS angstrom
7.761 0.215 0.574
-1.401 7.636 0.574
-2.457 -3.034 4.009
ATOMIC_POSITIONS crystal
Zr 0.924 0.076 0.750
Zr 0.076 0.924 0.250
Hf 0.380 0.241 0.077
Hf 0.241 0.380 0.577
Hf 0.759 0.620 0.423
Hf 0.620 0.759 0.923
Bi 0.351 0.649 0.250
Bi 0.196 0.804 0.750
Bi 0.649 0.351 0.750
Bi 0.804 0.196 0.250

! NpTcB2 (PBE-GGA, relaxed); values from VASP
! M_tot (μB/f.u.): 2.6
! Symmetry: No. 62
! Energy of formation (eV/atom): -0.355
&SYSTEM
  ibrav = 0, nat = 16, ntyp = 3
/
ATOMIC_SPECIES
Tc 98.00 Tc.upf
B 10.81 B.upf
Np 237.00 Np.upf
CELL_PARAMETERS angstrom
-5.274 -0.071 1.068
0.383 -5.471 1.530
1.207 1.784 6.079
ATOMIC_POSITIONS crystal
Tc 0.750 0.309 0.682
Tc 0.250 0.691 0.318
Tc 0.750 0.809 0.818
Tc 0.250 0.191 0.182
B 0.416 0.867 0.036
B 0.916 0.133 0.964
B 0.584 0.133 0.964
B 0.584 0.633 0.536
B 0.084 0.867 0.036
B 0.916 0.633 0.536
B 0.084 0.367 0.464
B 0.416 0.367 0.464
Np 0.250 0.499 0.834
Np 0.250 0.999 0.666
Np 0.750 0.501 0.166
Np 0.750 0.001 0.334

! YMo (PBE-GGA, relaxed); values from VASP
! M_tot (μB/f.u.): 0.0
! Symmetry: No. 225
! Energy of formation (eV/atom): 1.386
&SYSTEM
  ibrav = 0, nat = 2, ntyp = 2
/
ATOMIC_SPECIES
Y 88.91 Y.upf
Mo 95.94 Mo.upf
CELL_PARAMETERS angstrom
4.081 0.000 0.000
2.041 3.534 0.000
2.041 1.178 3.332
ATOMIC_POSITIONS crystal
Y 0.500 0.500 0.500
Mo 0.000 0.000 0.000

! Al2FeRe (PBE-GGA, relaxed); values from VASP
! M_tot (μB/f.u.): 2.0
! Symmetry: No. 12
! Energy of formation (eV/atom): -0.093
&SYSTEM
  ibrav = 0, nat = 4, ntyp = 3
/
ATOMIC_SPECIES
Al 26.98 Al.upf
Re 186.21 Re.upf
Fe 55.84 Fe.upf
CELL_PARAMETERS angstrom
-4.438 0.644 -0.713
-4.152 -1.774 0.487
-1.245 1.940 4.208
ATOMIC_POSITIONS crystal
Al 0.004 0.004 0.994
Al 0.496 0.496 0.506
Re 0.250 0.250 0.250
Fe 0.750 0.750 0.750

! CsLiIn (PBE-GGA, relaxed); values from VASP
! M_tot (μB/f.u.): 0.0
! Symmetry: No. 57
! Energy of formation (eV/atom): -0.056
&SYSTEM
  ibrav = 0, nat = 12, ntyp = 3
/
ATOMIC_SPECIES
Cs 132.91 Cs.upf
In 114.82 In.upf
Li 6.94 Li.upf
CELL_PARAMETERS angstrom
5.158 0.000 0.000
0.000 6.136 0.000
0.000 0.000 14.617
ATOMIC_POSITIONS crystal
Cs 0.410 0.987 0.332
Cs 0.910 0.513 0.332
Cs 0.910 0.013 0.668
Cs 0.410 0.487 0.668
In 0.409 0.890 0.868
In 0.909 0.610 0.868
In 0.909 0.110 0.132
In 0.409 0.390 0.132
Li 0.410 0.391 0.930
Li 0.910 0.109 0.930
Li 0.410 0.891 0.070
Li 0.910 0.609 0.070

! Tb3Dy2Ho6Zr (PBE-GGA, relaxed); values from VASP
! M_tot (μB/f.u.): 0.0
! Symmetry: No. 12
! Energy of formation (eV/atom): 0.042
&SYSTEM
  ibrav = 0, nat = 12, ntyp = 4
/
ATOMIC_SPECIES
Ho 164.93 Ho.upf
Tb 158.93 Tb.upf
Dy 162.50 Dy.upf
Zr 91.22 Zr.upf
CELL_PARAMETERS angstrom
6.067 0.004 0.001
-3.028 5.257 0.001
-1.005 -1.740 11.422
ATOMIC_POSITIONS crystal
Ho 0.245 0.245 0.756
Ho 0.755 0.755 0.244
Ho 0.408 0.081 0.244
Ho 0.592 0.919 0.756
Ho 0.081 0.408 0.244
Ho 0.919 0.592 0.756
Tb 0.834 0.166 0.500
Tb 0.166 0.834 0.500
Tb 0.500 0.500 0.500
Dy 0.333 0.667 0.000
Dy 0.667 0.333 0.000
Zr 0.000 0.000 0.000

! PaVSe4 (PBE-GGA, relaxed); values from VASP
! M_tot (μB/f.u.): 2.0
! E (eV per cell): -75.47
! Symmetry: No. 36
&SYSTEM
  ibrav = 0, nat = 12, ntyp = 3
/
ATOMIC_SPECIES
Se 78.96 Se.upf
Pa 231.04 Pa.upf
V 50.94 V.upf
CELL_PARAMETERS angstrom
4.875 0.000 0.000
0.000 6.713 0.000
-2.437 0.000 8.536
ATOMIC_POSITIONS crystal
Se 0.673 0.082 0.346
Se 0.327 0.582 0.654
Se 0.722 0.560 0.443
Se 0.092 0.762 0.184
Se 0.278 0.060 0.557
Se 0.544 0.397 0.089
Se 0.908 0.262 0.816
Se 0.456 0.897 0.911
Pa 0.160 0.378 0.320
Pa 0.840 0.878 0.680
V 0.405 0.254 0.811
V 0.595 0.754 0.189

! LaSm2Y12 (PBE-GGA, relaxed); values from VASP
! M_tot (μB/f.u.): 0.0
! Symmetry: No. 67
! Energy of formation (eV/atom): 0.171
&SYSTEM
  ibrav = 0, nat = 30, ntyp = 3
/
ATOMIC_SPECIES
Y 88.91 Y.upf
Sm 150.36 Sm.upf
La 138.91 La.upf
CELL_PARAMETERS angstrom
6.539 1.544 0.000
1.544 6.539 0.000
0.000 0.000 25.031
ATOMIC_POSITIONS crystal
Y 0.752 0.748 0.868
Y 0.739 0.761 0.584
Y 0.257 0.757 0.920
Y 0.500 0.500 0.328
Y 0.748 0.752 0.132
Y 0.236 0.736 0.560
Y 0.761 0.739 0.416
Y 0.000 0.000 0.328
Y 0.736 0.236 0.440
Y 0.764 0.264 0.560
Y 0.500 0.500 0.201
Y 0.743 0.243 0.920
Y 0.000 0.000 0.799
Y 0.500 0.500 0.799
Y 0.248 0.252 0.868
Y 0.252 0.248 0.132
Y 0.000 0.000 0.201
Y 0.261 0.239 0.584
Y 0.243 0.743 0.080
Y 0.239 0.261 0.416
Y 0.264 0.764 0.440
Y 0.757 0.257 0.080
Y 0.000 0.000 0.672
Y 0.500 0.500 0.672
Sm 0.500 0.000 0.272
Sm 0.000 0.500 0.267
Sm 0.500 0.000 0.733
Sm 0.000 0.500 0.728
La 0.000 0.500 0.996
La 0.500 0.000 0.004

! MgInP2O (PBE-GGA, relaxed); values from VASP
! M_tot (μB/f.u.): 0.0
! E (eV per cell): -19.35
! Symmetry: No. 123
&SYSTEM
  ibrav = 0, nat = 5, ntyp = 4
/
ATOMIC_SPECIES
In 114.82 In.upf
P 30.97 P.upf
Mg 24.30 Mg.upf
O 16.00 O.upf
CELL_PARAMETERS angstrom
5.108 0.000 0.000
0.000 5.108 0.000
0.000 0.000 3.665
ATOMIC_POSITIONS crystal
In 0.500 0.500 0.500
P 0.500 0.000 0.000
P 0.000 0.500 0.000
Mg 0.000 0.000 0.000
O 0.000 0.000 0.500

! DyErRh (PBE-GGA, relaxed); values from VASP
! M_tot (μB/f.u.): 0.0
! Symmetry: No. 107
! Energy of formation (eV/atom): -0.577
&SYSTEM
  ibrav = 0, nat = 3, ntyp = 3
/
ATOMIC_SPECIES
Er 167.26 Er.upf
Rh 102.91 Rh.upf
Dy 162.50 Dy.upf
CELL_PARAMETERS angstrom
3.435 0.000 0.000
0.000 3.435 0.000
-1.718 -1.718 6.268
ATOMIC_POSITIONS crystal
Er 0.036 0.036 0.072
Rh 0.665 0.665 0.330
Dy 0.299 0.299 0.597

! Ac2Bi3AsRh4 (PBE-GGA, relaxed); values from VASP
! M_tot (μB/f.u.): 0.0
! Symmetry: No. 115
! Energy of formation (eV/atom): -0.587
&SYSTEM
  ibrav = 0, nat = 10, ntyp = 4
/
ATOMIC_SPECIES
Rh 102.91 Rh.upf
As 74.92 As.upf
Bi 208.98 Bi.upf
Ac 227.00 Ac.upf
CELL_PARAMETERS angstrom
-0.368 -0.174 -4.702
-3.496 -3.145 0.390
-7.071 7.893 0.262
ATOMIC_POSITIONS crystal
Rh 0.000 0.000 0.000
Rh 0.500 0.500 0.000
Rh 0.500 0.000 0.613
Rh 0.000 0.500 0.387
As 0.500 0.500 0.500
Bi 0.000 0.500 0.132
Bi 0.000 0.000 0.500
Bi 0.500 0.000 0.868
Ac 0.000 0.500 0.745
Ac 0.500 0.000 0.255

! PaCrCo5B2 (PBE-GGA, relaxed); values from VASP
! M_tot (μB/f.u.): 0.0
! Symmetry: No. 123
! Energy of formation (eV/atom): 0.007
&SYSTEM
  ibrav = 0, nat = 9, ntyp = 4
/
ATOMIC_SPECIES
Co 58.93 Co.upf
B 10.81 B.upf
Pa 231.04 Pa.upf
Cr 52.00 Cr.upf
CELL_PARAMETERS angstrom
3.614 0.000 0.000
0.000 3.614 0.000
0.000 0.000 8.487
ATOMIC_POSITIONS crystal
Co 0.500 0.000 0.831
Co 0.500 0.500 0.500
Co 0.000 0.500 0.169
Co 0.500 0.000 0.169
Co 0.000 0.500 0.831
B 0.500 0.500 0.267
B 0.500 0.500 0.733
Pa 0.000 0.000 0.500
Cr 0.000 0.000 0.000

! Si2SnRhO (PBE-GGA, relaxed); values from VASP
! M_tot (μB/f.u.): 0.0
! E (eV per cell): -30.65
! Symmetry: No. 1
&SYSTEM
  ibrav = 0, nat = 5, ntyp = 4
/
ATOMIC_SPECIES
Si 28.09 Si.upf
Sn 118.71 Sn.upf
Rh 102.91 Rh.upf
O 16.00 O.upf
CELL_PARAMETERS angstrom
2.872 0.026 0.034
1.398 5.393 0.016
1.389 1.987 5.321
ATOMIC_POSITIONS crystal
Si 0.193 0.272 0.997
Si 0.007 0.744 0.895
Sn 0.388 0.429 0.449
Rh 0.762 0.915 0.212
O 0.555 0.833 0.715

! TaNi2P (PBE-GGA, relaxed); values from VASP
! M_tot (μB/f.u.): 0.0
! Symmetry: No. 71
! Energy of formation (eV/atom): -0.334
&SYSTEM
  ibrav = 0, nat = 4, ntyp = 3
/
ATOMIC_SPECIES
Ta 180.95 Ta.upf
Ni 58.69 Ni.upf
P 30.97 P.upf
CELL_PARAMETERS angstrom
-2.141 -1.344 4.227
0.668 2.869 3.947
-1.661 -0.147 -4.634
ATOMIC_POSITIONS crystal
Ta 0.500 0.000 0.500
Ni 0.219 0.219 0.000
Ni 0.781 0.781 0.000
P 0.000 0.500 0.500

! PmPr2Au8 (PBE-GGA, relaxed); values from VASP
! M_tot (μB/f.u.): 0.0
! Symmetry: No. 12
! Energy of formation (eV/atom): -0.669
&SYSTEM
  ibrav = 0, nat = 11, ntyp = 3
/
ATOMIC_SPECIES
Au 196.97 Au.upf
Pr 140.91 Pr.upf
Pm 145.00 Pm.upf
CELL_PARAMETERS angstrom
-3.362 1.889 3.594
-0.224 -5.543 2.664
7.718 3.763 1.396
ATOMIC_POSITIONS crystal
Au 0.868 0.097 0.741
Au 0.250 0.499 0.000
Au 0.127 0.356 0.259
Au 0.750 0.501 0.000
Au 0.699 0.199 0.398
Au 0.873 0.644 0.741
Au 0.301 0.801 0.602
Au 0.132 0.903 0.259
Pr 0.314 0.314 0.628
Pr 0.686 0.686 0.372
Pm 0.500 0.000 0.000

! InHgF (PBE-GGA, relaxed); values from VASP
! M_tot (μB/f.u.): 0.0
! E (eV per cell): -16.64
! Symmetry: No. 129
&SYSTEM
  ibrav = 0, nat = 6, ntyp = 3
/
ATOMIC_SPECIES
In 114.82 In.upf
F 19.00 F.upf
Hg 200.59 Hg.upf
CELL_PARAMETERS angstrom
4.052 0.000 0.000
0.000 4.052 0.000
0.000 0.000 9.001
ATOMIC_POSITIONS crystal
In 0.000 0.500 0.841
In 0.500 0.000 0.159
F 0.000 0.000 0.000
F 0.500 0.500 0.000
Hg 0.500 0.000 0.608
Hg 0.000 0.500 0.392

! CaPr2ZnN (PBE-GGA, relaxed); values from VASP
! M_tot (μB/f.u.): 0.0
! E (eV per cell): -23.97
! Symmetry: No. 123
&SYSTEM
  ibrav = 0, nat = 5, ntyp = 4
/
ATOMIC_SPECIES
Pr 140.91 Pr.upf
Ca 40.08 Ca.upf
Zn 65.41 Zn.upf
N 14.01 N.upf
CELL_PARAMETERS angstrom
-1.899 4.159 -2.206
2.051 -1.410 -4.424
-4.009 -2.409 -1.091
ATOMIC_POSITIONS crystal
Pr 0.500 0.000 0.000
Pr 0.000 0.500 0.000
Ca 0.000 0.000 0.500
Zn 0.500 0.500 0.500
N 0.000 0.000 0.000

! TmUS3 (PBE-GGA, relaxed); values from VASP
! M_tot (μB/f.u.): 2.7
! E (eV per cell): -147.24
! Symmetry: No. 62
&SYSTEM
  ibrav = 0, nat = 20, ntyp = 3
/
ATOMIC_SPECIES
S 32.06 S.upf
Tm 168.93 Tm.upf
U 238.03 U.upf
CELL_PARAMETERS angstrom
-3.460 0.518 1.655
-2.384 -6.137 -3.061
4.539 -7.697 11.898
ATOMIC_POSITIONS crystal
S 0.750 0.124 0.067
S 0.250 0.010 0.393
S 0.750 0.990 0.607
S 0.250 0.147 0.779
S 0.750 0.353 0.279
S 0.250 0.876 0.933
S 0.250 0.376 0.567
S 0.250 0.647 0.721
S 0.750 0.490 0.893
S 0.250 0.510 0.107
S 0.750 0.853 0.221
S 0.750 0.624 0.433
Tm 0.750 0.738 0.043
Tm 0.250 0.762 0.543
Tm 0.750 0.238 0.457
Tm 0.250 0.262 0.957
U 0.250 0.135 0.208
U 0.750 0.865 0.792
U 0.750 0.365 0.708
U 0.250 0.635 0.292

! ZnPtSe (PBE-GGA, relaxed); values from VASP
! M_tot (μB/f.u.): 0.0
! E (eV per cell): -10.91
! Symmetry: No. 156
&SYSTEM
  ibrav = 0, nat = 3, ntyp = 3
/
ATOMIC_SPECIES
Se 78.96 Se.upf
Pt 195.08 Pt.upf
Zn 65.41 Zn.upf
CELL_PARAMETERS angstrom
-0.383 0.525 -3.197
0.704 -2.994 1.089
-5.531 -1.126 0.479
ATOMIC_POSITIONS crystal
Se 0.667 0.333 0.327
Pt 0.000 0.000 0.997
Zn 0.333 0.667 0.676

! PPb2W (PBE-GGA, relaxed); values from VASP
! M_tot (μB/f.u.): 1.9
! Symmetry: No. 216
! Energy of formation (eV/atom): 1.100
&SYSTEM
  ibrav = 0, nat = 4, ntyp = 3
/
ATOMIC_SPECIES
Pb 207.20 Pb.upf
W 183.84 W.upf
P 30.97 P.upf
CELL_PARAMETERS angstrom
0.000 3.529 3.529
3.529 0.000 3.529
3.529 3.529 0.000
ATOMIC_POSITIONS crystal
Pb 0.000 0.000 0.000
Pb 0.750 0.750 0.750
W 0.250 0.250 0.250
P 0.500 0.500 0.500